1.
Be3Ag | PBE | relaxed

Results
The value obtained for the formation energy is 0.204 eV per atom. The calculation puts the total moment at 0.00 μB/atom. As for the space group: Pmm2. The relative energy among the computed polymorphs is 0.0627 eV/atom.

Unit cell a=2.655 b=3.791 c=4.314 alpha=90.00 beta=90.00 gamma=90.00
Fractional coordinates of all 4 atoms:
Be 0.500 0.000 0.493
Be 0.500 0.500 0.797
Be 0.000 0.500 0.376
Ag 0.000 0.000 0.000

2.
DyNbSi2 | PBE | relaxed

Results
As for the uncorrected formation energy: -0.457 eV/atom. The calculation puts the total moment at 0.00 μB/atom. As for the space group: R-3m.

Unit cell a=3.810 b=3.810 c=6.759 alpha=73.63 beta=73.63 gamma=60.00
Fractional coordinates of all 4 atoms:
Nb 0.000 0.000 0.000
Si 0.740 0.740 0.781
Si 0.260 0.260 0.219
Dy 0.500 0.500 0.500

3.
Li2PrThSi2 | PBE | relaxed

Results
As for the uncorrected formation energy: -0.502 eV/atom. The calculation puts the total moment at 0.00 μB/atom. As for the space group: P-3m1.

Unit cell a=4.479 b=4.479 c=7.457 alpha=90.00 beta=90.00 gamma=120.00
Fractional coordinates of all 6 atoms:
Li 0.333 0.667 0.757
Li 0.667 0.333 0.243
Pr 0.000 0.000 0.000
Th 0.000 0.000 0.500
Si 0.333 0.667 0.260
Si 0.667 0.333 0.740